w | ThSbSe | GGA-PBE | relaxed

Results
Symmetry ... No. 15

```
ThSbSe
1.0
7.154 0.000 0.000
-3.577 9.544 -0.084
0.000 -3.029 8.131
Se Th Sb
6 6 6
Cartesian
1.938 -2.272 6.098
1.588 3.065 0.493
5.565 1.550 4.558
5.216 -0.757 2.033
-1.988 4.964 3.489
1.989 3.450 7.554
-0.715 4.011 5.943
2.862 0.989 6.170
4.292 2.504 2.104
0.000 0.000 0.000
0.000 -1.515 4.065
0.715 5.526 1.877
-1.623 7.499 1.111
1.954 0.531 2.871
1.788 3.257 4.024
-1.788 4.772 -0.042
5.200 -0.984 6.937
1.623 5.984 5.176
```

***

x | ThSbSe | GGA-PBE | relaxed

Results
Symmetry ... No. 139

```
ThSbSe
1.0
-3.807 1.033 1.735
-1.903 -3.073 -2.346
4.219 -4.720 6.717
Th Sb Se
2 2 2
Cartesian
-2.466 -2.655 1.521
0.976 -4.105 4.585
-1.903 0.517 0.867
-0.952 -1.536 -1.173
0.505 -2.124 2.372
-1.995 -4.636 3.734
```

***

Relative to the most stable one, in eV/atom, the structures come out at w 0.282; x 0.000.

***

w | ThSbSe | GGA-PBE | relaxed

Results
Symmetry ... No. 129

```
ThSbSe
1.0
-2.169 -2.198 2.990
3.577 -0.316 2.362
-2.017 7.511 4.058
Sb Se Th
2 2 2
Cartesian
0.704 -1.257 2.676
0.000 0.000 0.000
-2.362 3.658 4.065
1.049 2.596 2.669
0.349 5.203 4.078
-1.662 1.051 2.656
```

***

x | ThSbSe | GGA-PBE | relaxed

Results
Symmetry ... No. 107

```
ThSbSe
1.0
-2.579 -0.969 2.808
-0.155 -3.670 -1.408
5.296 0.951 2.437
Sb Th Se
1 1 1
Cartesian
0.041 -0.014 0.033
0.074 -2.821 1.851
2.447 -0.852 1.954
```

***

Relative to the most stable one, in eV/atom, the structures come out at w 0.000; x 0.295.

***

w | Th3SbSe2 | GGA-PBE | relaxed

Results
Symmetry ... No. 63

```
Th3SbSe2
1.0
-3.324 -1.173 3.334
-2.072 -2.661 -6.532
4.901 -8.485 1.902
Se Sb Th
4 2 6
Cartesian
1.914 -7.037 2.964
0.000 0.000 0.000
-2.410 -5.282 -4.261
2.450 -4.243 0.951
-0.420 -3.552 -1.668
-0.075 -8.767 0.372
-0.055 -6.934 -2.493
-0.441 -5.385 1.197
2.001 -10.494 -1.696
2.733 -7.184 0.198
-2.497 -1.825 0.399
-3.229 -5.135 -1.494
```

***

x | Th3SbSe2 | GGA-PBE | relaxed

Results
Symmetry ... No. 71

```
Th3SbSe2
1.0
4.359 0.000 0.000
0.000 6.119 0.000
-2.179 -3.060 6.374
Th Se Sb
3 2 1
Cartesian
3.269 1.530 0.911
-1.090 1.530 5.463
1.090 -1.530 3.187
3.269 4.590 1.138
-1.090 -1.530 5.236
1.090 1.530 3.187
```

***

Relative to the most stable one, in eV/atom, the structures come out at w 0.184; x 0.000.

***

w | Ti6Sb3Se | GGA-PBE | relaxed

Results
Symmetry ... No. 11

```
Ti6Sb3Se
1.0
3.528 0.000 0.000
0.000 9.883 -5.644
0.000 -0.225 11.181
Ti Sb Se
12 6 2
Cartesian
2.646 7.123 5.509
2.646 2.461 6.781
2.646 0.728 9.726
0.882 0.238 7.114
2.646 6.086 2.703
0.882 3.571 2.834
0.882 8.930 -4.189
2.646 4.540 -1.688
2.646 9.419 -1.577
0.882 5.117 7.225
0.882 7.197 -1.245
0.882 2.534 0.028
2.646 1.314 1.724
0.882 1.545 4.710
2.646 4.513 4.952
0.882 5.144 0.585
2.646 8.112 0.827
0.882 8.343 3.813
0.882 2.536 8.642
2.646 7.121 -3.105
```

***

x | Ti6Sb3Se | GGA-PBE | relaxed

Results
Symmetry ... No. 36

```
Ti6Sb3Se
1.0
6.555 0.000 0.000
0.000 8.099 -0.073
0.000 -1.879 7.879
Ti Sb Se
12 6 2
Cartesian
1.164 4.738 4.543
4.111 0.555 5.939
4.442 1.483 3.262
0.834 5.666 1.866
4.442 3.371 5.632
1.612 -1.582 7.643
4.889 7.803 0.163
1.164 2.849 2.173
1.360 1.586 7.306
1.360 -0.547 4.630
4.637 4.635 0.500
4.637 6.768 3.176
3.433 5.937 5.546
0.155 0.284 2.260
2.154 2.133 4.682
5.431 4.088 3.124
3.433 2.140 0.781
0.155 4.081 7.025
3.055 6.541 1.168
6.332 -0.321 6.637
```

***

Relative to the most stable one, in eV/atom, the structures come out at w 0.000; x 0.020.

***

w | TiSbSe4 | GGA-PBE | relaxed

Results
Symmetry ... No. 2

```
TiSbSe4
1.0
3.680 0.000 -0.001
-1.829 6.878 -3.264
0.002 -0.238 6.701
Sb Se Ti
1 4 1
Cartesian
1.841 -0.119 3.350
0.001 1.513 2.090
1.842 1.314 5.720
1.853 5.128 1.346
0.011 5.327 -2.284
0.000 0.000 0.000
```

***

x | TiSbSe4 | GGA-PBE | relaxed

Results
Symmetry ... No. 14

```
TiSbSe4
1.0
-1.120 3.240 5.687
-4.988 -4.122 1.366
4.153 -4.010 3.062
Se Ti Sb
8 2 2
Cartesian
-0.928 -1.758 3.822
-1.027 -3.135 6.293
-3.763 -0.369 6.005
-1.873 -5.916 3.834
2.230 -2.091 6.684
-4.186 -2.802 3.431
-0.083 1.024 6.280
1.807 -4.523 4.109
0.000 0.000 0.000
-3.054 -0.441 3.526
1.516 -0.385 4.374
-0.418 -4.066 2.214
```

***

Relative to the most stable one, in eV/atom, the structures come out at w 0.000; x 0.148.

***

w | TlSbSe | GGA-PBE | relaxed

Results
Symmetry ... No. 107

```
TlSbSe
1.0
-4.205 0.715 -4.947
-6.302 0.575 -1.615
-0.794 3.844 -0.339
Tl Sb Se
1 1 1
Cartesian
-7.237 2.150 -4.466
-10.069 1.406 -6.280
-4.502 2.869 -2.715
```

***

x | TlSbSe | GGA-PBE | relaxed

Results
Symmetry ... No. 12

```
TlSbSe
1.0
0.510 0.334 5.038
2.727 -4.038 1.417
5.627 5.008 -2.603
Se Tl Sb
2 2 2
Cartesian
4.236 3.689 -1.861
4.629 -2.385 5.714
1.857 -0.662 1.936
7.007 1.966 1.917
3.746 1.664 0.284
5.118 -0.360 3.568
```

***

y | TlSbSe | GGA-PBE | relaxed

Results
Symmetry ... No. 156

```
TlSbSe
1.0
-2.180 0.571 4.250
4.735 -0.828 -0.183
0.811 4.685 -0.214
Se Sb Tl
1 1 1
Cartesian
0.203 0.550 2.752
0.188 1.083 -0.049
2.977 2.794 1.151
```

***

z | TlSbSe | GGA-PBE | relaxed

Results
Symmetry ... No. 216

```
TlSbSe
1.0
5.129 0.000 0.000
2.564 4.441 0.000
2.564 1.480 4.187
Tl Sb Se
1 1 1
Cartesian
5.129 2.961 2.094
7.693 4.441 3.141
0.000 0.000 0.000
```

***

Relative to the most stable one, in eV/atom, the structures come out at w 0.037; x 0.000; y 0.103; z 0.273.

***

w | Tl2SbSe4 | GGA-PBE | relaxed

Results
Symmetry ... No. 139

```
Tl2SbSe4
1.0
-2.194 -0.054 -5.018
4.283 -2.875 -1.841
-2.542 -7.856 -1.793
Se Sb Tl
4 1 2
Cartesian
-1.301 -5.644 -2.359
2.141 -1.438 -0.921
-1.097 -0.027 -2.509
0.848 -5.142 -6.293
0.000 0.000 0.000
0.128 -3.098 -3.011
-0.581 -7.688 -5.640
```

***

x | Tl2SbSe4 | GGA-PBE | relaxed

Results
Symmetry ... No. 55

```
Tl2SbSe4
1.0
-3.447 -0.123 2.185
3.508 -3.875 5.315
3.326 11.061 5.868
Tl Se Sb
4 8 2
Cartesian
1.496 1.297 6.248
-0.813 1.386 2.610
1.891 5.767 7.121
4.201 5.678 10.759
2.315 9.361 7.993
2.005 0.808 3.208
1.072 -2.297 5.376
2.777 7.324 4.791
4.829 6.379 7.975
2.791 3.172 8.395
0.596 3.892 4.974
4.057 -0.137 6.392
1.754 -1.937 2.658
1.663 5.531 2.934
```

***

Relative to the most stable one, in eV/atom, the structures come out at w 0.147; x 0.000.

***

w | Tl9SbSe6 | GGA-PBE | relaxed

Results
Symmetry ... No. 75

```
Tl9SbSe6
1.0
12.064 0.000 0.000
0.000 12.064 0.000
0.000 0.000 13.612
Se Tl Sb
24 36 4
Cartesian
6.976 2.776 10.267
0.000 6.032 13.140
6.032 0.000 7.275
5.016 3.266 3.296
2.776 5.088 10.267
0.901 9.093 10.245
2.971 0.901 10.245
10.967 9.020 3.350
9.020 1.097 3.350
3.044 10.967 3.350
5.088 9.289 10.267
6.032 6.032 6.557
11.163 2.971 10.245
9.093 11.163 10.245
0.000 0.000 6.282
6.032 6.032 0.301
9.289 6.976 10.267
7.048 8.799 3.296
0.000 0.000 12.902
3.266 7.048 3.296
8.799 5.016 3.296
1.097 3.044 3.350
0.000 6.032 7.275
6.032 0.000 13.140
2.655 1.214 5.384
3.265 10.807 8.120
10.807 8.799 8.120
2.998 10.763 12.319
9.261 7.278 1.393
2.803 4.786 1.393
10.763 9.066 12.319
7.238 8.885 12.333
1.257 3.265 8.120
10.799 3.196 1.507
3.196 1.265 1.507
9.409 10.850 5.384
4.826 3.179 12.333
1.265 8.868 1.507
4.773 2.700 8.135
8.739 7.250 5.441
7.292 9.364 8.135
8.799 1.257 8.120
0.000 6.032 4.171
6.032 0.000 4.171
7.250 3.325 5.441
9.364 4.773 8.135
0.000 0.000 2.986
3.179 7.238 12.333
6.032 6.032 9.601
4.814 8.739 5.441
8.868 10.799 1.507
8.885 4.826 12.333
3.325 4.814 5.441
7.278 2.803 1.393
1.214 9.409 5.384
10.850 2.655 5.384
9.066 1.301 12.319
2.700 7.292 8.135
1.301 2.998 12.319
4.786 9.261 1.393
6.032 6.032 2.961
0.000 0.000 10.338
6.032 0.000 10.477
0.000 6.032 10.477
```

***

x | Tl9SbSe6 | GGA-PBE | relaxed

Results
Symmetry ... No. 87

```
Tl9SbSe6
1.0
-4.289 4.289 6.646
4.289 -4.289 6.646
4.289 4.289 -6.646
Tl Sb Se
9 1 6
Cartesian
2.892 1.166 8.690
1.397 3.123 -2.043
-1.166 2.892 8.690
5.455 1.397 -2.043
1.397 3.123 2.043
5.455 1.397 2.043
2.892 1.166 4.603
-1.166 2.892 4.603
0.000 0.000 0.000
0.000 0.000 6.646
3.037 1.588 0.000
0.000 0.000 9.583
1.588 5.541 0.000
1.252 2.701 6.646
0.000 0.000 3.710
2.701 -1.252 6.646
```

***

Relative to the most stable one, in eV/atom, the structures come out at w 0.008; x 0.000.